KAlPSe2 | PBE-GGA | relaxed

Cell lengths 5.8307, 5.8307, 5.8446 Å; angles 90.00, 90.00, 90.00 degrees
Closest atoms and distances in Å follow each position.
Fractional coordinates of all 5 atoms:
K (0.0000, 0.0000, 0.0000)  4 Se 2.92, 2 P 2.92
Al (0.5000, 0.5000, 0.5000)  4 P 4.12, 8 Se 4.13
P (0.0000, 0.0000, 0.5000)  2 K 2.92
Se (0.0000, 0.5000, 0.0000)  2 K 2.92
Se (0.5000, 0.0000, 0.0000)  2 K 2.92

ΔE_f (raw), eV per atom: 1.217
Energy relative to the lowest polymorph listed for this composition, meV per atom: 906
DOS(E_F), states/eV/cell: 8.3
Uncorrected energy, eV per atom: -2.23
SG: P4/mmm (123)

Sc2ReTcO | PBE-GGA | relaxed

Cell lengths 5.1579, 5.1579, 3.6560 Å; angles 90.00, 90.00, 90.00 degrees
Closest atoms and distances in Å follow each position.
Fractional coordinates of all 5 atoms:
Sc (0.0000, 0.5000, 0.0000)  2 Tc 2.58
Sc (0.5000, 0.0000, 0.0000)  2 Tc 2.58
Re (0.0000, 0.0000, 0.5000)  8 Sc 3.16
Tc (0.5000, 0.5000, 0.0000)  2 O 1.83
O (0.5000, 0.5000, 0.5000)  2 Tc 1.83

ΔE_f (raw), eV per atom: 0.402
Energy relative to the lowest polymorph listed for this composition, meV per atom: 59
DOS(E_F), states/eV/cell: 4.6
Uncorrected energy, eV per atom: -7.68
SG: P4/mmm (123)

Ti7Sn3N2 | PBE-GGA | relaxed

Cell lengths 4.0636, 4.0437, 11.9402 Å; angles 90.00, 99.79, 90.00 degrees
Closest atoms and distances in Å follow each position.
Fractional coordinates of all 12 atoms:
Ti (0.0000, 0.0000, 0.0000)  4 Sn 2.87, 8 Ti 3.05-3.08
Ti (0.0965, 0.5000, 0.1943)  2 N 2.08
Ti (0.2980, 0.5000, 0.5961)  1 N 2.01
Ti (0.4022, 0.0000, 0.8031)  2 N 2.07
Ti (0.5978, 0.0000, 0.1969)  2 N 2.07
Ti (0.7020, 0.5000, 0.4039)  1 N 2.01
Ti (0.9035, 0.5000, 0.8057)  2 N 2.08
Sn (0.1954, 0.0000, 0.3910)  10 Ti 2.87-3.15
Sn (0.5000, 0.5000, 0.0000)  2 N 2.74, 8 Ti 2.87-3.06
Sn (0.8046, 0.0000, 0.6090)  10 Ti 2.87-3.15
N (0.3843, 0.5000, 0.7671)  5 Ti 2.01-2.08
N (0.6157, 0.5000, 0.2329)  5 Ti 2.01-2.08

ΔE_f (raw), eV per atom: -0.700
DOS(E_F), states/eV/cell: 9.3
Uncorrected energy, eV per atom: -7.69
SG: P2/m (10)

Tm8Tl2In | PBE-GGA | relaxed

Cell lengths 8.8245, 8.8245, 8.8245 Å; angles 147.01, 122.50, 67.91 degrees
Closest atoms and distances in Å follow each position.
Fractional coordinates of all 11 atoms:
Tm (0.1267, 0.3433, 0.7834)  3 Tl 3.16-3.23, 1 In 3.32, 5 Tm 3.40-3.48
Tm (0.1433, 0.1433, 0.0000)  2 In 3.27, 8 Tm 3.31-3.48, 2 Tl 3.44
Tm (0.3024, 0.0000, 0.3024)  7 Tm 3.31-3.40, 2 Tl 3.33, 2 In 3.59
Tm (0.4401, 0.6567, 0.7834)  3 Tl 3.16-3.23, 1 In 3.32, 5 Tm 3.40-3.48
Tm (0.5599, 0.3433, 0.2166)  3 Tl 3.16-3.23, 1 In 3.32, 5 Tm 3.40-3.48
Tm (0.6976, 0.0000, 0.6976)  7 Tm 3.31-3.40, 2 Tl 3.33, 2 In 3.59
Tm (0.8567, 0.8567, 0.0000)  2 In 3.27, 8 Tm 3.31-3.48, 2 Tl 3.44
Tm (0.8733, 0.6567, 0.2166)  3 Tl 3.16-3.23, 1 In 3.32, 5 Tm 3.40-3.48
Tl (0.3039, 0.8039, 0.5000)  10 Tm 3.16-3.44
Tl (0.6961, 0.1961, 0.5000)  10 Tm 3.16-3.44
In (0.0000, 0.5000, 0.5000)  12 Tm 3.27-3.59

Formation energy from the elements, meV/atom: -130
Energy relative to the lowest polymorph listed for this composition, meV per atom: 0
DOS(E_F), states/eV/cell: 12.3
Uncorrected energy, eV per atom: -4.06
SG: Immm (71)

NiAs2Ir | PBE-GGA | relaxed

Cell lengths 2.9263, 2.9263, 8.2996 Å; angles 90.00, 90.00, 120.59 degrees
Closest atoms and distances in Å follow each position.
Fractional coordinates of all 4 atoms:
Ni (0.0000, 0.0000, 0.0000)  4 As 2.46
As (0.5000, 0.5000, 0.2398)  2 Ni 2.46, 2 Ir 2.60
As (0.5000, 0.5000, 0.7602)  2 Ni 2.46, 2 Ir 2.60
Ir (0.0000, 0.0000, 0.5000)  4 As 2.60, 2 Ir 2.90

Formation energy from the elements, meV/atom: 302
Energy relative to the lowest polymorph listed for this composition, meV per atom: 527
DOS(E_F), states/eV/cell: 3.8
Uncorrected energy, eV per atom: -5.68
SG: Cmmm (65)

TeIrPt2 | PBE-GGA | relaxed

Cell lengths 4.6954, 4.6954, 4.7089 Å; angles 104.00, 104.00, 44.30 degrees
Closest atoms and distances in Å follow each position.
Fractional coordinates of all 4 atoms:
Te (0.0000, 0.0000, 0.0000)  3 Ir 2.73-2.74, 7 Pt 2.74-3.00
Ir (0.2602, 0.2602, 0.7760)  3 Te 2.73-2.74, 7 Pt 2.77-2.98
Pt (0.5134, 0.5134, 0.5210)  3 Pt 2.69-2.79, 3 Ir 2.77-2.80, 4 Te 2.89-3.00
Pt (0.7643, 0.7643, 0.2881)  3 Pt 2.69-2.79, 3 Te 2.74-2.94, 4 Ir 2.91-2.98

ΔE_f (raw), eV per atom: 0.211
DOS(E_F), states/eV/cell: 2.5
Uncorrected energy, eV per atom: -5.81
SG: Cm (8)

Re3SbTe | PBE-GGA | relaxed

Cell lengths 4.8735, 4.8735, 4.8735 Å; angles 90.00, 90.00, 90.00 degrees
Closest atoms and distances in Å follow each position.
Fractional coordinates of all 5 atoms:
Re (0.0000, 0.0000, 0.5000)  2 Te 2.44
Re (0.0000, 0.5000, 0.0000)  2 Te 2.44
Re (0.5000, 0.0000, 0.0000)  2 Te 2.44
Sb (0.5000, 0.5000, 0.5000)  12 Re 3.45
Te (0.0000, 0.0000, 0.0000)  6 Re 2.44

ΔE_f (raw), eV per atom: 2.401
Energy relative to the lowest polymorph listed for this composition, meV per atom: 0
DOS(E_F), states/eV/cell: 5.4
Uncorrected energy, eV per atom: -6.52
SG: Pm-3m (221)

GdHoNiIr | PBE-GGA | relaxed

Cell lengths 4.8327, 4.8327, 4.8327 Å; angles 60.00, 60.00, 60.00 degrees
Closest atoms and distances in Å follow each position.
Fractional coordinates of all 4 atoms:
Gd (0.0000, 0.0000, 0.0000)  4 Ni 2.96, 4 Ir 2.96
Ho (0.5000, 0.5000, 0.5000)  4 Ni 2.96, 4 Ir 2.96
Ni (0.2500, 0.2500, 0.2500)  4 Gd 2.96, 4 Ho 2.96
Ir (0.7500, 0.7500, 0.7500)  4 Gd 2.96, 4 Ho 2.96

Formation energy from the elements, meV/atom: -623
DOS(E_F), states/eV/cell: 2.4
Uncorrected energy, eV per atom: -8.95
SG: F-43m (216)

- Among the records above, which one has the lowest DOS(E_F)?
  GdHoNiIr